[1]
The following is a PBE calculation of a geometry-optimized Tb4GaPSe2 structure, from Alexandria via LeMat-Bulk.

abc: 4.032 7.150 7.190
angles: 108.69 90.00 90.00
Sites, in units of the cell vectors:
Tb: 0.500 0.241 0.233
Tb: 0.500 0.759 0.767
Tb: 0.000 0.248 0.757
Tb: 0.000 0.752 0.243
Ga: 0.500 0.500 0.000
P: 0.000 0.000 0.000
Se: 0.500 0.000 0.500
Se: 0.000 0.500 0.500

Results
Magnetization = 0.00 μB/f.u.
N(E_F) = 2.5 states/eV per cell
Electronic total energy = -45.686 eV/f.u.
E_form (uncorrected) = -1.470 eV per atom

[2]
The following is a PBE calculation of a geometry-optimized Th4GaP2Se structure, from Alexandria via LeMat-Bulk.

abc: 4.198 7.314 7.267
angles: 70.75 90.00 90.00
Sites, in units of the cell vectors:
Th: 0.000 0.766 0.741
Th: 0.000 0.234 0.259
Th: 0.500 0.764 0.247
Th: 0.500 0.236 0.753
Ga: 0.000 0.500 0.500
P: 0.000 0.000 0.000
P: 0.500 0.000 0.500
Se: 0.500 0.500 0.000

Results
Magnetization = 0.00 μB/f.u.
N(E_F) = 4.6 states/eV per cell
Electronic total energy = -57.160 eV/f.u.
E_form (uncorrected) = -1.269 eV per atom

[3]
The following is a PBE calculation of a geometry-optimized Tm4GaPSe2 structure, from Alexandria via LeMat-Bulk.

abc: 3.953 7.067 7.027
angles: 71.35 90.00 90.00
Sites, in units of the cell vectors:
Tm: 0.000 0.730 0.758
Tm: 0.000 0.270 0.242
Tm: 0.500 0.740 0.250
Tm: 0.500 0.260 0.750
Ga: 0.000 0.500 0.500
P: 0.500 0.500 0.000
Se: 0.000 0.000 0.000
Se: 0.500 0.000 0.500

Results
Magnetization = 0.00 μB/f.u.
N(E_F) = 2.5 states/eV per cell
Electronic total energy = -44.617 eV/f.u.
E_form (uncorrected) = -1.416 eV per atom

[4]
The following is a PBE calculation of a geometry-optimized Y6GaP2Se3 structure, from Alexandria via LeMat-Bulk.

abc: 4.025 8.285 9.173
angles: 103.65 102.67 90.00
Sites, in units of the cell vectors:
Y: 0.335 0.905 0.671
Y: 0.672 0.571 0.344
Y: 0.665 0.095 0.329
Y: 0.004 0.249 0.007
Y: 0.996 0.751 0.993
Y: 0.328 0.429 0.656
Ga: 0.500 0.000 0.000
P: 0.833 0.665 0.665
P: 0.167 0.335 0.335
Se: 0.500 0.500 0.000
Se: 0.832 0.169 0.664
Se: 0.168 0.831 0.336

Results
Magnetization = 0.00 μB/f.u.
N(E_F) = 3.2 states/eV per cell
Electronic total energy = -82.150 eV/f.u.
E_form (uncorrected) = -1.589 eV per atom

[5]
The following is a PBE calculation of a geometry-optimized Y8Ga3PSe3 structure, from Alexandria via LeMat-Bulk.

abc: 7.969 7.953 8.477
angles: 117.93 90.00 120.00
Sites, in units of the cell vectors:
Y: 0.252 0.504 0.255
Y: 0.748 0.496 0.745
Y: 0.758 0.517 0.260
Y: 0.242 0.483 0.740
Y: 0.758 0.002 0.260
Y: 0.242 0.998 0.740
Y: 0.244 0.002 0.260
Y: 0.756 0.998 0.740
Ga: 0.000 0.000 0.000
Ga: 0.000 0.500 0.000
Ga: 0.500 0.500 0.000
P: 0.000 0.000 0.500
Se: 0.500 0.000 0.500
Se: 0.500 0.500 0.500
Se: 0.000 0.500 0.500

Results
Magnetization = 0.00 μB/f.u.
N(E_F) = 10.0 states/eV per cell
Electronic total energy = -93.796 eV/f.u.
E_form (uncorrected) = -1.143 eV per atom

[6]
The following is a PBE calculation of a geometry-optimized Zn2GaPSe structure, from Alexandria via LeMat-Bulk.

abc: 4.777 5.163 4.777
angles: 90.00 90.00 90.00
Sites, in units of the cell vectors:
P: 0.500 0.500 0.500
Zn: 0.000 0.000 0.500
Zn: 0.500 0.000 0.000
Ga: 0.000 0.500 0.000
Se: 0.000 0.000 0.000

Results
Magnetization = 0.00 μB/f.u.
N(E_F) = 1.5 states/eV per cell
Electronic total energy = -11.452 eV/f.u.
E_form (uncorrected) = 0.603 eV per atom